[1]
Ca3Sc2TaN6: relaxed, GGA-PBE.

- Size of the total moment: 0.0 μB per formula unit
- Uncorrected formation energy: -1544 kJ/mol of formula units
- DFT total energy: -8.039 eV per atom

abc: 5.660 9.802 5.870
angles: 90.00 108.79 90.00
Space group C2/m (No. 12)
Asymmetric unit:
Ca 0.000 0.000 0.000
Ca 0.000 0.332 0.000
Sc 0.000 0.166 0.500
Ta 0.000 0.500 0.500
N 0.230 0.341 0.714
N 0.246 0.500 0.287

***

[2]
CaScTcN3: relaxed, GGA-PBE.

- Size of the total moment: 0.0 μB per formula unit
- Uncorrected formation energy: -514 kJ/mol of formula units
- DFT total energy: -8.167 eV per atom

abc: 5.967 3.291 8.856
angles: 90.00 103.77 90.00
Space group P2_1/m (No. 11)
Asymmetric unit:
Ca 0.148 0.250 0.174
Sc 0.370 0.250 0.864
Tc 0.154 0.750 0.578
N 0.007 0.250 0.663
N 0.279 0.750 0.001
N 0.442 0.750 0.695

***

[3]
CaSc2TlN: relaxed, GGA-PBE.

- Size of the total moment: 0.0 μB per formula unit
- Uncorrected formation energy: -433 kJ/mol of formula units
- DFT total energy: -5.968 eV per atom

abc: 4.521 4.521 4.809
angles: 90.00 90.00 90.00
Space group P4/mmm (No. 123)
Asymmetric unit:
Ca 0.000 0.000 0.000
Sc 0.000 0.500 0.500
Tl 0.500 0.500 0.000
N 0.000 0.000 0.500

***

[4]
Ca3Sc2UN6: relaxed, GGA-PBE.

- Size of the total moment: 0.0 μB per formula unit
- Uncorrected formation energy: -1731 kJ/mol of formula units
- DFT total energy: -8.154 eV per atom

abc: 5.806 10.065 5.939
angles: 90.00 108.90 90.00
Space group C2/m (No. 12)
Asymmetric unit:
Ca 0.000 0.000 0.000
Ca 0.000 0.329 0.000
Sc 0.000 0.166 0.500
U 0.000 0.500 0.500
N 0.232 0.339 0.714
N 0.250 0.000 0.712

***

[5]
Ca3ScU2N6: relaxed, GGA-PBE.

- Size of the total moment: 2.7 μB per formula unit
- Uncorrected formation energy: -1611 kJ/mol of formula units
- DFT total energy: -8.463 eV per atom

abc: 5.947 10.297 5.989
angles: 90.00 109.26 90.00
Space group C2/m (No. 12)
Asymmetric unit:
Ca 0.000 0.000 0.000
Ca 0.000 0.337 0.000
Sc 0.000 0.500 0.500
U 0.000 0.167 0.500
N 0.232 0.000 0.713
N 0.241 0.330 0.711

***

[6]
Ca4ScU3N8: relaxed, GGA-PBE.

- Size of the total moment: 4.8 μB per formula unit
- Uncorrected formation energy: -2096 kJ/mol of formula units
- DFT total energy: -8.533 eV per atom

abc: 6.8920 6.8920 17.0542
angles: 90.00 90.00 120.00
Space group R-3m (No. 166, hexagonal axes)
Asymmetric unit:
Ca 0.0000 0.0000 0.0000
Ca 0.0000 0.5000 0.0000
Sc 0.0000 0.0000 0.5000
U 0.0000 0.5000 0.5000
N 0.0000 0.0000 0.2393
N 0.0052 0.5026 0.7629

***

[7]
CaScV2N: relaxed, GGA-PBE.

- Size of the total moment: 6.6 μB per formula unit
- Uncorrected formation energy: 530 kJ/mol of formula units
- DFT total energy: -5.881 eV per atom

abc: 5.196 5.196 4.095
angles: 90.00 90.00 90.00
Space group P4/mmm (No. 123)
Asymmetric unit:
Ca 0.000 0.000 0.000
Sc 0.500 0.500 0.500
V 0.000 0.500 0.500
N 0.500 0.500 0.000

***

[8]
Ca2ScZnN: relaxed, GGA-PBE.

- Size of the total moment: 0.0 μB per formula unit
- Uncorrected formation energy: -305 kJ/mol of formula units
- DFT total energy: -4.620 eV per atom

abc: 4.982 4.982 4.301
angles: 90.00 90.00 90.00
Space group P4/mmm (No. 123)
Asymmetric unit:
Ca 0.000 0.500 0.000
Sc 0.000 0.000 0.500
Zn 0.500 0.500 0.500
N 0.000 0.000 0.000

***

[9]
CaZr2Sc3N6: relaxed, GGA-PBE.

- Size of the total moment: 0.0 μB per formula unit
- Uncorrected formation energy: -1989 kJ/mol of formula units
- DFT total energy: -9.055 eV per atom

abc: 14.149 3.255 6.541
angles: 90.00 102.96 90.00
Space group C2/m (No. 12)
Asymmetric unit:
Ca 0.000 0.000 0.000
Zr 0.164 0.500 0.332
Sc 0.000 0.000 0.500
Sc 0.166 0.500 0.834
N 0.004 0.500 0.270
N 0.167 0.000 0.584
N 0.173 0.000 0.091

***

[10]
CaZr2ScN4: relaxed, GGA-PBE.

- Size of the total moment: 0.0 μB per formula unit
- Uncorrected formation energy: -1266 kJ/mol of formula units
- DFT total energy: -8.982 eV per atom

abc: 6.553 6.618 9.312
angles: 90.00 90.00 90.00
Space group Imma (No. 74)
Asymmetric unit:
Ca 0.250 0.250 0.250
Zr 0.000 0.000 0.000
Zr 0.250 0.250 0.750
Sc 0.000 0.000 0.500
N 0.000 0.018 0.752
N 0.248 0.250 0.993

***

[11]
Ca3SeN: relaxed, GGA-PBE.

- Size of the total moment: 0.0 μB per formula unit
- Uncorrected formation energy: -533 kJ/mol of formula units
- DFT total energy: -4.667 eV per atom
- Relative energy among the computed polymorphs: 0 meV per atom

abc: 13.793 10.555 6.875
angles: 90.00 96.32 90.00
Space group C2/c (No. 15)
Asymmetric unit:
Ca 0.122 0.125 0.136
Ca 0.153 0.465 0.920
Ca 0.175 0.204 0.630
Se 0.000 0.093 0.750
Se 0.000 0.349 0.250
N 0.247 0.404 0.625

***

[12]
Ca2SeN: relaxed, GGA-PBE.

- Size of the total moment: 1.0 μB per formula unit
- Uncorrected formation energy: -374 kJ/mol of formula units
- DFT total energy: -4.922 eV per atom
- Relative energy among the computed polymorphs: 0 meV per atom

abc: 6.949 6.949 7.503
angles: 90.00 90.00 90.00
Space group I-42d (No. 122)
Asymmetric unit:
Ca 0.185 0.250 0.125
Se 0.000 0.000 0.500
N 0.000 0.000 0.000

***

[13]
Ca5Se4N: relaxed, GGA-PBE.

- Size of the total moment: 1.0 μB per formula unit
- Uncorrected formation energy: -1541 kJ/mol of formula units
- DFT total energy: -4.824 eV per atom

abc: 9.131 9.131 5.939
angles: 90.00 90.00 90.00
Space group I4 (No. 79)
Asymmetric unit:
Ca 0.000 0.000 0.000
Ca 0.091 0.723 0.574
Se 0.094 0.702 0.077
N 0.000 0.000 0.611

***

[14]
CaSeN3: relaxed, GGA-PBE.

- Size of the total moment: 0.0 μB per formula unit
- Uncorrected formation energy: 440 kJ/mol of formula units
- DFT total energy: -5.180 eV per atom

abc: 3.845 3.845 3.845
angles: 90.00 90.00 90.00
Space group Pm-3m (No. 221)
Asymmetric unit:
Ca 0.000 0.000 0.000
Se 0.500 0.500 0.500
N 0.000 0.500 0.500

***

[15]
CaSeN: relaxed, GGA-PBE.

- Size of the total moment: 0.0 μB per formula unit
- Uncorrected formation energy: -364 kJ/mol of formula units
- DFT total energy: -5.863 eV per atom

abc: 9.482 4.138 8.298
angles: 90.00 102.79 90.00
Space group P2_1/c (No. 14)
Asymmetric unit:
Ca 0.152 0.248 0.414
Se 0.168 0.750 0.168
N 0.446 0.061 0.487

***

[16]
CaSeN3: relaxed, GGA-PBE.

- Size of the total moment: 4.9 μB per formula unit
- Uncorrected formation energy: 1100 kJ/mol of formula units
- DFT total energy: -3.813 eV per atom

abc: 4.504 4.504 4.504
angles: 90.00 90.00 90.00
Space group Pm-3m (No. 221)
Asymmetric unit:
Ca 0.000 0.000 0.000
Se 0.500 0.500 0.500
N 0.000 0.000 0.500

***

[17]
Ca8SeN4: relaxed, GGA-PBE.

- Size of the total moment: 0.0 μB per formula unit
- Uncorrected formation energy: -1137 kJ/mol of formula units
- DFT total energy: -4.968 eV per atom

abc: 10.672 10.672 10.672
angles: 90.00 90.00 90.00
Space group F-43m (No. 216)
Asymmetric unit:
Ca 0.104 0.104 0.104
Ca 0.142 0.142 0.642
Se 0.250 0.250 0.250
N 0.126 0.126 0.874

***

[18]
Ca2SeN2: relaxed, GGA-PBE.

- Size of the total moment: 1.0 μB per formula unit
- Uncorrected formation energy: -506 kJ/mol of formula units
- DFT total energy: -5.877 eV per atom

abc: 13.356 4.032 7.166
angles: 90.00 101.87 90.00
Space group C2/c (No. 15)
Asymmetric unit:
Ca 0.135 0.203 0.127
Se 0.000 0.283 0.750
N 0.234 0.361 0.548

***

[19]
Ca2SeN: relaxed, GGA-PBE.

- Size of the total moment: 1.0 μB per formula unit
- Uncorrected formation energy: -241 kJ/mol of formula units
- DFT total energy: -4.577 eV per atom
- Relative energy among the computed polymorphs: 346 meV per atom

abc: 6.783 6.783 6.783
angles: 90.00 90.00 90.00
Space group Fm-3m (No. 225)
Asymmetric unit:
Ca 0.250 0.250 0.250
Se 0.000 0.000 0.000
N 0.000 0.000 0.500

***

[20]
Ca8Se2N3: relaxed, GGA-PBE.

- Size of the total moment: 0.5 μB per formula unit
- Uncorrected formation energy: -1311 kJ/mol of formula units
- DFT total energy: -4.735 eV per atom

abc: 14.324 7.367 6.374
angles: 90.00 107.86 90.00
Space group C2/m (No. 12)
Asymmetric unit:
Ca 0.090 0.000 0.396
Ca 0.094 0.500 0.413
Ca 0.099 0.236 0.894
Se 0.245 0.500 0.182
N 0.000 0.000 0.000
N 0.000 0.254 0.500

***

[21]
Ca4SeN4: relaxed, GGA-PBE.

- Size of the total moment: 0.0 μB per formula unit
- Uncorrected formation energy: -789 kJ/mol of formula units
- DFT total energy: -5.886 eV per atom
- Relative energy among the computed polymorphs: 0 meV per atom

abc: 12.923 3.660 13.454
angles: 90.00 90.00 90.00
Space group Pnma (No. 62)
Asymmetric unit:
Ca 0.008 0.250 0.115
Ca 0.041 0.750 0.368
Ca 0.234 0.750 0.968
Ca 0.241 0.250 0.742
Se 0.134 0.750 0.588
N 0.093 0.250 0.967
N 0.110 0.250 0.251
N 0.132 0.250 0.878
N 0.168 0.250 0.334